{
  "formula": "Mg2SbPb",
  "functional": "GGA-PBEsol",
  "state": "relaxed",
  "lattice": [[3.4031, 0.0000, 0.0000], [0.0000, 5.3592, 0.0000], [0.0000, 0.0000, 5.3566]],
  "species": ["Mg", "Mg", "Sb", "Pb"],
  "frac_coords": [[0.0000, 0.0000, 0.0000], [0.0000, 0.5000, 0.4896], [0.5000, 0.0000, 0.4985], [0.5000, 0.5000, 0.9898]],
  "volume_a3_per_atom": 24.4,
  "relative_energy_kj_per_mol_atoms": 4.18,
  "raw_formation_energy_ev_per_atom": -0.099,
  "final_energy_ev_per_atom": -3.097
}

=====

{
  "formula": "YPtCl",
  "functional": "GGA-PBEsol",
  "state": "relaxed",
  "lattice": [[0.0000, 3.2734, 3.2734], [3.2734, 0.0000, 3.2734], [3.2734, 3.2734, 0.0000]],
  "species": ["Y", "Pt", "Cl"],
  "frac_coords": [[0.0000, 0.0000, 0.0000], [0.2500, 0.2500, 0.2500], [0.7500, 0.7500, 0.7500]],
  "volume_a3_per_atom": 23.4,
  "raw_formation_energy_ev_per_atom": -1.055,
  "final_energy_ev_per_atom": -6.319
}

=====

{
  "formula": "Y2TlCr",
  "functional": "GGA-PBEsol",
  "state": "relaxed",
  "lattice": [[-2.2142, 2.2142, 4.8295], [2.2142, -2.2142, 4.8295], [2.2142, 2.2142, -4.8295]],
  "species": ["Y", "Y", "Tl", "Cr"],
  "frac_coords": [[0.0000, 0.0000, 0.0000], [0.7500, 0.2500, 0.5000], [0.2500, 0.7500, 0.5000], [0.5000, 0.5000, 0.0000]],
  "volume_a3_per_atom": 23.7,
  "relative_energy_kj_per_mol_atoms": 11.40,
  "final_energy_ev_per_atom": -6.486,
  "delta_e_f_ev_per_atom": 0.1428
}

=====

{
  "formula": "La2CrTc",
  "functional": "GGA-PBEsol",
  "state": "relaxed",
  "lattice": [[3.5756, 0.0000, 0.0000], [0.0000, 3.5756, 0.0000], [0.0000, 0.0000, 7.1154]],
  "species": ["La", "La", "Cr", "Tc"],
  "frac_coords": [[0.0000, 0.0000, 0.2361], [0.0000, 0.0000, 0.7639], [0.5000, 0.5000, 0.5000], [0.5000, 0.5000, 0.0000]],
  "volume_a3_per_atom": 22.7,
  "relative_energy_kj_per_mol_atoms": 15.79,
  "final_energy_ev_per_atom": -7.553,
  "delta_e_f_ev_per_atom": 0.4973
}

=====

{
  "formula": "Na2Ga2Pt",
  "functional": "GGA-PBEsol",
  "state": "relaxed",
  "lattice": [[6.4331, 0.0000, 0.0000], [0.0000, 6.4331, 0.0000], [0.0000, 0.0000, 5.0040]],
  "species": ["Na", "Na", "Na", "Na", "Ga", "Ga", "Ga", "Ga", "Pt", "Pt"],
  "frac_coords": [[0.1827, 0.3173, 0.0000], [0.3173, 0.8173, 0.0000], [0.6827, 0.1827, 0.0000], [0.8173, 0.6827, 0.0000], [0.1432, 0.6432, 0.5000], [0.3568, 0.1432, 0.5000], [0.6432, 0.8568, 0.5000], [0.8568, 0.3568, 0.5000], [0.0000, 0.0000, 0.5000], [0.5000, 0.5000, 0.5000]],
  "volume_a3_per_atom": 20.7,
  "final_energy_ev_per_atom": -3.557,
  "delta_e_f_ev_per_atom": -0.2684
}

=====

{
  "formula": "Sr2CrCl",
  "functional": "GGA-PBEsol",
  "state": "relaxed",
  "lattice": [[5.8456, 0.0000, 0.0000], [0.0000, 5.8456, 0.0000], [0.0000, 0.0000, 3.9551]],
  "species": ["Sr", "Sr", "Cr", "Cl"],
  "frac_coords": [[0.0000, 0.5000, 0.0000], [0.5000, 0.0000, 0.0000], [0.0000, 0.0000, 0.5000], [0.5000, 0.5000, 0.0000]],
  "volume_a3_per_atom": 33.8,
  "relative_energy_kj_per_mol_atoms": 0.00,
  "raw_formation_energy_ev_per_atom": -0.268,
  "final_energy_ev_per_atom": -4.251
}

=====

{
  "formula": "CrIr2W",
  "functional": "GGA-PBEsol",
  "state": "relaxed",
  "lattice": [[-1.9051, 1.9051, 3.7954], [1.9051, -1.9051, 3.7954], [1.9051, 1.9051, -3.7954]],
  "species": ["Cr", "Ir", "Ir", "W"],
  "frac_coords": [[0.0000, 0.0000, 0.0000], [0.2500, 0.7500, 0.5000], [0.7500, 0.2500, 0.5000], [0.5000, 0.5000, 0.0000]],
  "volume_a3_per_atom": 13.8,
  "relative_energy_kj_per_mol_atoms": 0.36,
  "final_energy_ev_per_atom": -11.161,
  "delta_e_f_ev_per_atom": -0.2374
}

=====

{
  "formula": "InSbIrI2",
  "functional": "GGA-PBEsol",
  "state": "relaxed",
  "lattice": [[5.6281, 0.0000, 0.0000], [0.0000, 5.6281, 0.0000], [0.0000, 0.0000, 4.9200]],
  "species": ["In", "Sb", "Ir", "I", "I"],
  "frac_coords": [[0.0000, 0.0000, 0.0000], [0.5000, 0.5000, 0.0000], [0.5000, 0.5000, 0.5000], [0.0000, 0.5000, 0.5000], [0.5000, 0.0000, 0.5000]],
  "volume_a3_per_atom": 31.2,
  "raw_formation_energy_ev_per_atom": 0.232,
  "final_energy_ev_per_atom": -3.947
}

=====

> Number 8 is which compound?

InSbIrI2